(1)
First-principles (PBE-GGA) data for a relaxed structure of RbNbCd, as listed in Alexandria via LeMat-Bulk.

abc: 13.7312 5.2704 5.4653
angles: 90.00 90.00 90.00
With the nearest neighbours (Å) after each atom.
Positions (direct):
Rb1 0.2498 0.2500 0.2492  2 Nb 3.70, 4 Rb 3.80, 4 Cd 3.92-3.93
Rb2 0.2502 0.7500 0.7492  2 Nb 3.70, 4 Rb 3.80, 4 Cd 3.92-3.93
Rb3 0.7498 0.2500 0.2508  2 Nb 3.70, 4 Rb 3.80, 4 Cd 3.92-3.93
Rb4 0.7502 0.7500 0.7508  2 Nb 3.70, 4 Rb 3.80, 4 Cd 3.92-3.93
Nb1 0.0000 0.2500 0.5026  2 Nb 2.64
Nb2 0.0000 0.7500 0.4974  2 Nb 2.64
Nb3 0.5000 0.2500 0.9974  2 Nb 2.64
Nb4 0.5000 0.7500 0.0026  2 Nb 2.64
Cd1 0.0000 0.0000 0.0000  2 Cd 2.64
Cd2 0.0000 0.5000 0.0000  2 Cd 2.64
Cd3 0.5000 0.0000 0.5000  2 Cd 2.64
Cd4 0.5000 0.5000 0.5000  2 Cd 2.64

**Volume**: 395.5 Å³ per cell
**Energy above the most stable polymorph in this dataset**: 0.344 eV per atom
**VASP energy**: -3.33 eV per atom
**Magnetic moment**: 0.07 μB per atom
**Calculated formation energy**: 0.6501 eV/atom
**Crystal system**: orthorhombic
**Space-group type**: Pnma (62)
**Fermi-level density of states**: 1.15 states/eV/atom

(2)
First-principles (PBE-GGA) data for a relaxed structure of Be2WSe, as listed in Alexandria via LeMat-Bulk.

abc: 3.1703 3.1703 5.0787
angles: 90.00 90.00 90.00
With the nearest neighbours (Å) after each atom.
Positions (direct):
Be1 0.0000 0.0000 0.0000  1 Se 2.36, 4 Be 2.47, 4 W 2.60
Be2 0.5000 0.5000 0.2053  1 W 2.35, 4 Be 2.47, 4 Se 2.60
W1 0.5000 0.5000 0.7422  5 Be 2.35-2.60
Se1 0.0000 0.0000 0.4645  5 Be 2.36-2.60

**Volume**: 51.0 Å³ per cell
**VASP energy**: -5.66 eV per atom
**Magnetic moment**: 0.00 μB per atom
**Crystal system**: tetragonal
**Space-group type**: P4mm (99)
**Fermi-level density of states**: 0.47 states/eV/atom
**Formation energy without anion corrections**: 0.32 eV/atom

(3)
First-principles (PBE-GGA) data for a relaxed structure of Ba2Ir2Br, as listed in Alexandria via LeMat-Bulk.

abc: 8.7802 8.7802 4.1157
angles: 90.00 90.00 90.00
With the nearest neighbours (Å) after each atom.
Positions (direct):
Ba1 0.1846 0.3154 0.0000  6 Ir 3.30-3.42
Ba2 0.3154 0.8154 0.0000  6 Ir 3.30-3.42
Ba3 0.6846 0.1846 0.0000  6 Ir 3.30-3.42
Ba4 0.8154 0.6846 0.0000  6 Ir 3.30-3.42
Ir1 0.0952 0.5952 0.5000  1 Ir 2.36
Ir2 0.4048 0.0952 0.5000  1 Ir 2.36
Ir3 0.5952 0.9048 0.5000  1 Ir 2.36
Ir4 0.9048 0.4048 0.5000  1 Ir 2.36
Br1 0.0000 0.0000 0.5000  4 Ir 3.65, 8 Ba 3.81
Br2 0.5000 0.5000 0.5000  4 Ir 3.65, 8 Ba 3.81

**Volume**: 317.3 Å³ per cell
**Energy above the most stable polymorph in this dataset**: 0.044 eV per atom
**VASP energy**: -4.76 eV per atom
**Magnetic moment**: 0.60 μB per atom
**Crystal system**: tetragonal
**Space-group type**: P4/mbm (127)
**Fermi-level density of states**: 0.02 states/eV/atom
**Formation energy without anion corrections**: -0.12 eV/atom

(4)
First-principles (PBE-GGA) data for a relaxed structure of Na3Mg4In4, as listed in Alexandria via LeMat-Bulk.

abc: 9.0337 9.0337 9.0337
angles: 149.51 124.09 65.03
With the nearest neighbours (Å) after each atom.
Positions (direct):
Na1 0.0000 0.0000 0.0000  6 In 3.49-3.61
Na2 0.3798 0.8798 0.5000  6 In 3.31-3.36, 6 Mg 3.46-3.66, 1 Na 3.66
Na3 0.6202 0.1202 0.5000  6 In 3.31-3.36, 6 Mg 3.46-3.66, 1 Na 3.66
Mg1 0.0093 0.3218 0.6875  4 In 2.94-3.00, 1 Mg 3.18
Mg2 0.3657 0.6782 0.6875  4 In 2.94-3.00, 1 Mg 3.18
Mg3 0.6343 0.3218 0.3125  4 In 2.94-3.00, 1 Mg 3.18
Mg4 0.9907 0.6782 0.3125  4 In 2.94-3.00, 1 Mg 3.18
In1 0.2290 0.2290 0.0000  6 Mg 2.96-3.00, 2 Na 3.31
In2 0.3202 0.5000 0.8202  2 Mg 2.94, 1 In 3.05
In3 0.6798 0.5000 0.1798  2 Mg 2.94, 1 In 3.05
In4 0.7710 0.7710 0.0000  6 Mg 2.96-3.00, 2 Na 3.31

**Volume**: 306.6 Å³ per cell
**VASP energy**: -1.97 eV per atom
**Magnetic moment**: 0.00 μB per atom
**Calculated formation energy**: -0.0317 eV/atom
**Crystal system**: orthorhombic
**Space-group type**: Immm (71)
**Fermi-level density of states**: 0.55 states/eV/atom

(5)
First-principles (PBE-GGA) data for a relaxed structure of NaPa2S6, as listed in Alexandria via LeMat-Bulk.

abc: 7.1879 7.1879 4.0801
angles: 90.00 90.00 120.00
With the nearest neighbours (Å) after each atom.
Positions (direct):
Na1 0.0000 0.0000 0.0000  9 S 2.82-3.03
Pa1 0.3333 0.6667 0.5000  3 S 2.64
Pa2 0.6667 0.3333 0.5000  3 S 2.64
S1 0.0000 0.4214 0.0000  4 Pa 2.96, 2 S 3.00, 1 Na 3.03
S2 0.0000 0.7282 0.5000  2 Pa 2.64, 2 Na 2.82
S3 0.2718 0.2718 0.5000  2 Pa 2.64, 2 Na 2.82
S4 0.4214 0.0000 0.0000  4 Pa 2.96, 2 S 3.00, 1 Na 3.03
S5 0.5786 0.5786 0.0000  4 Pa 2.96, 2 S 3.00, 1 Na 3.03
S6 0.7282 0.0000 0.5000  2 Pa 2.64, 2 Na 2.82

**Volume**: 182.6 Å³ per cell
**Energy above the most stable polymorph in this dataset**: 0.166 eV per atom
**VASP energy**: -6.22 eV per atom
**Magnetic moment**: 0.00 μB per atom
**Crystal system**: hexagonal
**Space-group type**: P-62m (189)
**Fermi-level density of states**: 0.33 states/eV/atom
**Formation energy without anion corrections**: -1.21 eV/atom

(6)
First-principles (PBE-GGA) data for a relaxed structure of K2CoRh, as listed in Alexandria via LeMat-Bulk.

abc: 4.0316 4.0316 5.3189
angles: 90.00 90.00 90.00
With the nearest neighbours (Å) after each atom.
Positions (direct):
K1 0.0000 0.5000 0.0000  4 K 2.85
K2 0.5000 0.0000 0.0000  4 K 2.85
Co1 0.0000 0.0000 0.5000  4 Rh 2.85
Rh1 0.5000 0.5000 0.5000  4 Co 2.85

**Volume**: 86.5 Å³ per cell
**Energy above the most stable polymorph in this dataset**: 0.547 eV per atom
**VASP energy**: -3.17 eV per atom
**Magnetic moment**: 0.62 μB per atom
**Calculated formation energy**: 0.9975 eV/atom
**Crystal system**: tetragonal
**Space-group type**: P4/mmm (123)
**Fermi-level density of states**: 0.87 states/eV/atom

(7)
First-principles (PBE-GGA) data for a relaxed structure of CaZrN2, as listed in Alexandria via LeMat-Bulk.

abc: 4.1029 4.1029 4.1029
angles: 60.00 60.00 60.00
With the nearest neighbours (Å) after each atom.
Positions (direct):
Ca1 0.0000 0.0000 0.0000  8 N 2.51
Zr1 0.5000 0.5000 0.5000  8 N 2.51
N1 0.2500 0.2500 0.2500  4 Zr 2.51, 4 Ca 2.51
N2 0.7500 0.7500 0.7500  4 Zr 2.51, 4 Ca 2.51

**Volume**: 48.8 Å³ per cell
**VASP energy**: -7.21 eV per atom
**Magnetic moment**: 0.00 μB per atom
**Crystal system**: cubic
**Space-group type**: Fm-3m (225)
**Fermi-level density of states**: 0.23 states/eV/atom
**Formation energy without anion corrections**: -0.41 eV/atom

(8)
First-principles (PBE-GGA) data for a relaxed structure of Ti2Nb2Ni, as listed in Alexandria via LeMat-Bulk.

abc: 6.4657 6.4657 4.0003
angles: 90.00 90.00 90.00
With the nearest neighbours (Å) after each atom.
Positions (direct):
Ti1 0.1451 0.3549 0.0000  2 Ni 2.48, 2 Nb 2.65, 1 Ti 2.65
Ti2 0.3549 0.8549 0.0000  2 Ni 2.48, 2 Nb 2.65, 1 Ti 2.65
Ti3 0.6451 0.1451 0.0000  2 Ni 2.48, 2 Nb 2.65, 1 Ti 2.65
Ti4 0.8549 0.6451 0.0000  2 Ni 2.48, 2 Nb 2.65, 1 Ti 2.65
Nb1 0.1654 0.6654 0.5000  6 Ti 2.65-2.84
Nb2 0.3346 0.1654 0.5000  6 Ti 2.65-2.84
Nb3 0.6654 0.8346 0.5000  6 Ti 2.65-2.84
Nb4 0.8346 0.3346 0.5000  6 Ti 2.65-2.84
Ni1 0.0000 0.0000 0.0000  4 Ti 2.48
Ni2 0.5000 0.5000 0.0000  4 Ti 2.48

**Volume**: 167.2 Å³ per cell
**Energy above the most stable polymorph in this dataset**: 0.000 eV per atom
**VASP energy**: -8.20 eV per atom
**Magnetic moment**: 0.00 μB per atom
**Calculated formation energy**: 0.1457 eV/atom
**Crystal system**: tetragonal
**Space-group type**: P4/mbm (127)
**Fermi-level density of states**: 0.89 states/eV/atom

Which value of volume does entry 1 give?
395.5 Å³ per cell

Which of these has the lowest VASP energy?
Ti2Nb2Ni

Which formula does entry 2 have?
Be2WSe

The lowest VASP energy belongs to which entry?
Ti2Nb2Ni